No. 1
A relaxed Na2Pu2I5Br2 crystal. Source: the Alexandria database, functional PBE.

Unit cell a=6.344 b=6.344 c=26.127 alpha=90.00 beta=90.00 gamma=90.00
Space group I4/mmm (No. 139)
Unique sites:
Na  0.000  0.000  0.167 [4 per cell]
Pu  0.000  0.000  0.381 [4 per cell]
I  0.000  0.000  0.500 [2 per cell]
I  0.000  0.500  0.120 [8 per cell]
Br  0.000  0.000  0.273 [4 per cell]

Summary:
raw formation energy = -27.1 kcal/mol of atoms

=====

No. 2
A relaxed Li10TlHg6 crystal. Source: the Alexandria database, functional PBE.

Unit cell a=8.1098 b=8.1098 c=5.6914 alpha=90.00 beta=90.00 gamma=120.00
Space group P-31m (No. 162)
Unique sites:
Li  0.0000  0.2911  0.3148 [6 per cell]
Li  0.3333  0.6667  0.0000 [2 per cell]
Li  0.3333  0.6667  0.5000 [2 per cell]
Tl  0.0000  0.0000  0.0000 [1 per cell]
Hg  0.0000  0.3732  0.7949 [6 per cell]

=====

No. 3
A relaxed Np3Tl4CuSe8 crystal. Source: the Alexandria database, functional PBE.

Unit cell a=14.305 b=8.242 c=9.123 alpha=90.00 beta=121.52 gamma=90.00
Space group C2/m (No. 12)
Unique sites:
Np  0.000  0.000  0.000 [2 per cell]
Np  0.250  0.250  0.000 [4 per cell]
Tl  0.000  0.000  0.500 [2 per cell]
Tl  0.000  0.500  0.500 [2 per cell]
Tl  0.250  0.250  0.500 [4 per cell]
Cu  0.000  0.500  0.000 [2 per cell]
Se  0.017  0.255  0.804 [8 per cell]
Se  0.231  0.500  0.197 [4 per cell]
Se  0.235  0.000  0.206 [4 per cell]

Summary:
raw formation energy = -16.9 kcal/mol of atoms

=====

No. 4
A relaxed Pm2Si3IrPt12 crystal. Source: the Alexandria database, functional PBE.

Unit cell a=8.1795 b=8.1795 c=18.5356 alpha=90.00 beta=90.00 gamma=120.00
Space group R-3m (No. 166, hexagonal axes)
Unique sites:
Pm  0.0000  0.0000  0.1124 [6 per cell]
Si  0.0000  0.5000  0.0000 [9 per cell]
Ir  0.0000  0.0000  0.5000 [3 per cell]
Pt  0.0070  0.5035  0.8742 [18 per cell]
Pt  0.0275  0.5138  0.3694 [18 per cell]

Summary:
raw formation energy = -8.8 kcal/mol of atoms

=====

No. 5
A relaxed Pa3Ta crystal. Source: the Alexandria database, functional PBE.

Unit cell a=7.180 b=7.180 c=7.180 alpha=90.00 beta=90.00 gamma=90.00
Space group Fm-3m (No. 225)
Unique sites:
Pa  0.000  0.000  0.000 [4 per cell]
Pa  0.250  0.250  0.250 [8 per cell]
Ta  0.000  0.000  0.500 [4 per cell]

=====

No. 6
A relaxed Ca4TmAg5 crystal. Source: the Alexandria database, functional PBE.

Unit cell a=3.693 b=3.693 c=18.376 alpha=90.00 beta=90.00 gamma=90.00
Space group P4/mmm (No. 123)
Unique sites:
Ca  0.000  0.000  0.100 [2 per cell]
Ca  0.000  0.000  0.303 [2 per cell]
Tm  0.000  0.000  0.500 [1 per cell]
Ag  0.500  0.500  0.000 [1 per cell]
Ag  0.500  0.500  0.201 [2 per cell]
Ag  0.500  0.500  0.412 [2 per cell]

=====

No. 7
A relaxed NbCl2F5 crystal. Source: the Alexandria database, functional PBE.

Unit cell a=5.218 b=5.495 c=7.345 alpha=78.20 beta=78.82 gamma=64.82
Space group P1 (No. 1)
Unique sites:
Nb  0.000  0.000  0.000 [1 per cell]
Cl  0.551  0.424  0.531 [1 per cell]
Cl  0.803  0.626  0.484 [1 per cell]
F  0.104  0.001  0.230 [1 per cell]
F  0.200  0.615  0.027 [1 per cell]
F  0.217  0.025  0.766 [1 per cell]
F  0.651  0.977  0.002 [1 per cell]
F  0.821  0.386  0.971 [1 per cell]

Summary:
raw formation energy = -50.9 kcal/mol of atoms

=====

No. 8
A relaxed LiSb2Rh crystal. Source: the Alexandria database, functional PBE.

Unit cell a=4.506 b=4.506 c=3.746 alpha=90.00 beta=90.00 gamma=90.00
Space group P4/mmm (No. 123)
Unique sites:
Li  0.000  0.000  0.000 [1 per cell]
Sb  0.000  0.500  0.500 [2 per cell]
Rh  0.500  0.500  0.000 [1 per cell]

Summary:
raw formation energy = -5.7 kcal/mol of atoms

=====

No. 9
A relaxed Ca2AlAs crystal. Source: the Alexandria database, functional PBE.

Unit cell a=4.650 b=4.664 c=8.907 alpha=90.00 beta=90.00 gamma=90.00
Space group Immm (No. 71)
Unique sites:
Ca  0.000  0.000  0.250 [4 per cell]
Al  0.000  0.500  0.000 [2 per cell]
As  0.000  0.500  0.500 [2 per cell]

=====

No. 10
A relaxed CuNiHRu2 crystal. Source: the Alexandria database, functional PBE.

Unit cell a=3.809 b=3.809 c=3.712 alpha=90.00 beta=90.00 gamma=90.00
Space group P4/mmm (No. 123)
Unique sites:
Cu  0.000  0.000  0.000 [1 per cell]
Ni  0.500  0.500  0.000 [1 per cell]
H  0.500  0.500  0.500 [1 per cell]
Ru  0.000  0.500  0.500 [2 per cell]

=====

No. 11
A relaxed Re2IrW2 crystal. Source: the Alexandria database, functional PBE.

Unit cell a=4.120 b=4.120 c=10.746 alpha=90.00 beta=90.00 gamma=90.00
Space group I4/mmm (No. 139)
Unique sites:
Re  0.000  0.000  0.114 [4 per cell]
Ir  0.000  0.000  0.500 [2 per cell]
W  0.000  0.500  0.250 [4 per cell]

=====

No. 12
A relaxed AcSc2Nb crystal. Source: the Alexandria database, functional PBE.

Unit cell a=3.3094 b=3.3094 c=34.1264 alpha=90.00 beta=90.00 gamma=120.00
Space group R-3m (No. 166, hexagonal axes)
Unique sites:
Ac  0.0000  0.0000  0.0000 [3 per cell]
Sc  0.0000  0.0000  0.0991 [6 per cell]
Nb  0.0000  0.0000  0.5000 [3 per cell]

=====

No. 13
A relaxed Tb5Tm6In crystal. Source: the Alexandria database, functional PBE.

Unit cell a=11.550 b=10.437 c=6.054 alpha=90.00 beta=99.37 gamma=90.00
Space group C2/m (No. 12)
Unique sites:
Tb  0.000  0.000  0.000 [2 per cell]
Tb  0.000  0.168  0.500 [4 per cell]
Tb  0.000  0.337  0.000 [4 per cell]
Tm  0.248  0.336  0.757 [8 per cell]
Tm  0.250  0.000  0.739 [4 per cell]
In  0.000  0.500  0.500 [2 per cell]

=====

No. 14
A relaxed Tb2IrCl crystal. Source: the Alexandria database, functional PBE.

Unit cell a=4.0309 b=4.0309 c=22.5278 alpha=90.00 beta=90.00 gamma=120.00
Space group R3m (No. 160, hexagonal axes)
Unique sites:
Tb  0.0000  0.0000  0.0000 [3 per cell]
Tb  0.0000  0.0000  0.2029 [3 per cell]
Ir  0.0000  0.0000  0.6022 [3 per cell]
Cl  0.0000  0.0000  0.7759 [3 per cell]

Summary:
raw formation energy = -27.4 kcal/mol of atoms

=====

No. 15
A relaxed BaCuIN2 crystal. Source: the Alexandria database, functional PBE.

Unit cell a=4.480 b=4.480 c=5.034 alpha=90.00 beta=90.00 gamma=90.00
Space group P4/mmm (No. 123)
Unique sites:
Ba  0.000  0.000  0.000 [1 per cell]
Cu  0.500  0.500  0.500 [1 per cell]
I  0.500  0.500  0.000 [1 per cell]
N  0.000  0.500  0.500 [2 per cell]

Summary:
raw formation energy = 22.2 kcal/mol of atoms

=====

Calculated total energy per entry: -110.6 -28.5 -184.0 -341.9 -157.4 -29.9 -40.8 -18.5 -28.9 -30.6 -110.2 -75.7 -106.6 -74.2 -19.4 eV/cell
Spin magnetization per entry: 11.0 0.0 10.0 0.0 0.0 0.0 0.0 0.0 0.0 0.0 0.0 0.0 0.0 0.0 0.0 μB/f.u.